No. 1
{"formula": "Pm3PuSe4", "functional": "PBE-GGA", "state": "optimized geometry", "lattice_angstrom": [[-0.8592, -2.6105, -5.2332], [-0.5034, -5.2367, 2.6949], [-5.1590, 4.7631, 1.8093]], "species": ["Pm", "Pm", "Se", "Pu", "Se", "Se", "Pm", "Se"], "fractional_positions": [[0.5000, 0.5000, 0.0000], [0.7500, 0.2500, 0.5000], [0.2477, 0.2477, 0.4954], [0.0000, 0.0000, 0.0000], [0.7523, 0.7523, 0.5046], [0.5000, 0.0000, 0.0000], [0.2500, 0.7500, 0.5000], [0.0000, 0.5000, 0.0000]], "total_energy_ev_per_atom": -7.094, "space_group": "I4/mmm (139)", "magmom_total_mub_per_atom": 0.752, "e_form_raw_ev_per_fu": -14.2}

***

No. 2
{"formula": "Ti2Ga2Ir", "functional": "PBE-GGA", "state": "optimized geometry", "lattice_angstrom": [[-4.3885, 1.3806, -4.5595], [3.7101, -2.8981, -4.4485], [-1.7201, -3.2382, 0.6751]], "species": ["Ga", "Ti", "Ga", "Ir", "Ir", "Ga", "Ga", "Ti", "Ti", "Ti"], "fractional_positions": [[0.8658, 0.6342, 0.0000], [0.6694, 0.8306, 0.5000], [0.6342, 0.1342, 0.0000], [0.0000, 0.0000, 0.0000], [0.5000, 0.5000, 0.0000], [0.3658, 0.8658, 0.0000], [0.1342, 0.3658, 0.0000], [0.1694, 0.6694, 0.5000], [0.3306, 0.1694, 0.5000], [0.8306, 0.3306, 0.5000]], "total_energy_ev_per_atom": -6.696, "ef_mev_per_atom": -555, "space_group": "P4/mbm (127)", "magmom_total_mub_per_atom": 0.000}

***

No. 3
{"formula": "Al2BP", "functional": "PBE-GGA", "state": "optimized geometry", "lattice_angstrom": [[-0.9159, 0.3959, 5.3542], [5.3511, -0.3732, 0.9429], [2.6025, 4.8013, 2.8602]], "species": ["Al", "Al", "P", "Al", "B", "P", "Al", "B"], "fractional_positions": [[0.8750, 0.8398, 0.7500], [0.1602, 0.6250, 0.2500], [0.7500, 0.2500, 0.5000], [0.5898, 0.1250, 0.2500], [0.2500, 0.7500, 0.5000], [0.0000, 0.0000, 0.0000], [0.3750, 0.4102, 0.7500], [0.5000, 0.5000, 0.0000]], "total_energy_ev_per_atom": -4.635, "ef_mev_per_atom": 258, "space_group": "I-42d (122)", "magmom_total_mub_per_atom": 0.000}

***

No. 4
{"formula": "NiSb2Pb", "functional": "PBE-GGA", "state": "optimized geometry", "lattice_angstrom": [[6.3278, 0.0518, -0.0402], [3.1467, 5.4902, 0.0402], [-4.0064, -4.0204, 2.7982]], "species": ["Pb", "Ni", "Sb", "Sb"], "fractional_positions": [[0.2500, 0.7500, 0.5000], [0.7500, 0.2500, 0.5000], [0.9330, 0.9330, 0.0000], [0.5670, 0.5670, 0.0000]], "total_energy_ev_per_atom": -4.347, "space_group": "Immm (71)", "magmom_total_mub_per_atom": 0.000, "e_form_raw_ev_per_fu": 0.3}

***

No. 5
{"formula": "LaMn2Au", "functional": "PBE-GGA", "state": "optimized geometry", "lattice_angstrom": [[-5.1356, 0.2676, 0.6077], [-0.9129, -3.4653, 3.7381], [3.0097, 4.2049, -0.2756]], "species": ["Mn", "Au", "Mn", "La"], "fractional_positions": [[0.2306, 0.7306, 0.5000], [0.4777, 0.4777, 0.0000], [0.0345, 0.0345, 0.0000], [0.7573, 0.2573, 0.5000]], "total_energy_ev_per_atom": -6.504, "ef_mev_per_atom": 132, "space_group": "Imm2 (44)", "magmom_total_mub_per_atom": 0.017}

***

No. 6
{"formula": "PmSm2Y9", "functional": "PBE-GGA", "state": "optimized geometry", "lattice_angstrom": [[5.0728, 0.0000, 0.0000], [0.0000, 5.0728, 0.0000], [0.0000, 0.0000, 15.2170]], "species": ["Y", "Y", "Y", "Y", "Sm", "Y", "Y", "Sm", "Y", "Y", "Pm", "Y"], "fractional_positions": [[0.0000, 0.5000, 0.5000], [0.5000, 0.5000, 0.0000], [0.0000, 0.5000, 0.1670], [0.0000, 0.5000, 0.8330], [0.0000, 0.0000, 0.3334], [0.5000, 0.5000, 0.6664], [0.5000, 0.0000, 0.5000], [0.0000, 0.0000, 0.6666], [0.5000, 0.5000, 0.3336], [0.5000, 0.0000, 0.1670], [0.0000, 0.0000, 0.0000], [0.5000, 0.0000, 0.8330]], "total_energy_ev_per_atom": -6.008, "ef_mev_per_atom": 23, "space_group": "P4/mmm (123)", "magmom_total_mub_per_atom": 0.000}

***

No. 7
{"formula": "Li2Er3NpSe6", "functional": "PBE-GGA", "state": "optimized geometry", "lattice_angstrom": [[-2.7280, 2.0483, -2.1488], [-4.7783, -6.5400, -0.1679], [-1.2104, 3.1980, 8.3675]], "species": ["Li", "Er", "Er", "Se", "Se", "Se", "Li", "Se", "Np", "Se", "Se", "Er"], "fractional_positions": [[0.8243, 0.6471, 0.6486], [0.5000, 0.5000, 0.0000], [0.1657, 0.8339, 0.3314], [0.6666, 0.5844, 0.3332], [0.9969, 0.7435, 0.9939], [0.3305, 0.9104, 0.6611], [0.1757, 0.3529, 0.3514], [0.3334, 0.4156, 0.6668], [0.5000, 0.0000, 0.0000], [0.6695, 0.0896, 0.3389], [0.0031, 0.2565, 0.0061], [0.8343, 0.1661, 0.6686]], "total_energy_ev_per_atom": -5.854, "space_group": "C2/m (12)", "magmom_total_mub_per_atom": 0.397, "e_form_raw_ev_per_fu": -18.9}

***

No. 8
{"formula": "LaLuSn2", "functional": "PBE-GGA", "state": "optimized geometry", "lattice_angstrom": [[-0.2164, -4.4198, 0.8507], [1.3393, 0.8422, 4.7163], [-4.7850, 0.4793, 1.2732]], "species": ["Sn", "Lu", "Sn", "La"], "fractional_positions": [[0.0000, 0.5000, 0.0000], [0.5000, 0.5000, 0.5000], [0.0000, 0.0000, 0.5000], [0.5000, 0.0000, 0.0000]], "total_energy_ev_per_atom": -4.983, "ef_mev_per_atom": -620, "space_group": "P4/mmm (123)", "magmom_total_mub_per_atom": 0.000}

***

No. 9
{"formula": "MnNiP2", "functional": "PBE-GGA", "state": "optimized geometry", "lattice_angstrom": [[0.0000, 2.8629, 2.8629], [2.8629, 0.0000, 2.8629], [2.8629, 2.8629, 0.0000]], "species": ["P", "Ni", "P", "Mn"], "fractional_positions": [[0.2500, 0.2500, 0.2500], [0.5000, 0.5000, 0.5000], [0.7500, 0.7500, 0.7500], [0.0000, 0.0000, 0.0000]], "total_energy_ev_per_atom": -6.519, "ef_mev_per_atom": -77, "space_group": "Fm-3m (225)", "magmom_total_mub_per_atom": 0.551}

***

No. 10
{"formula": "MgCuPd2Pt2", "functional": "PBE-GGA", "state": "optimized geometry", "lattice_angstrom": [[-3.5693, 1.1992, -3.8109], [0.8622, -7.0017, -3.0107], [-3.2831, -1.5198, 2.5966]], "species": ["Pt", "Pd", "Mg", "Cu", "Pd", "Pt", "Pt", "Cu", "Pt", "Pd", "Mg", "Pd"], "fractional_positions": [[0.2500, 0.9217, 0.2507], [0.0013, 0.7519, 0.7501], [0.2500, 0.5834, 0.2498], [0.2500, 0.0795, 0.7508], [0.4987, 0.7519, 0.7501], [0.2500, 0.4076, 0.7498], [0.7500, 0.0783, 0.7493], [0.7500, 0.9205, 0.2492], [0.7500, 0.5924, 0.2502], [0.9987, 0.2481, 0.2499], [0.7500, 0.4166, 0.7502], [0.5013, 0.2481, 0.2499]], "total_energy_ev_per_atom": -4.985, "ef_mev_per_atom": -292, "space_group": "Pmmn (59)", "magmom_total_mub_per_atom": 0.000}

***

No. 11
{"formula": "NaSr6Hg3", "functional": "PBE-GGA", "state": "optimized geometry", "lattice_angstrom": [[5.3564, 0.0000, 0.0000], [0.0000, 11.2911, -5.0247], [0.0000, -0.8182, 14.3338]], "species": ["Hg", "Hg", "Sr", "Na", "Sr", "Na", "Hg", "Sr", "Sr", "Sr", "Sr", "Hg", "Hg", "Sr", "Sr", "Sr", "Sr", "Sr", "Hg", "Sr"], "fractional_positions": [[0.7500, 0.0817, 0.9853], [0.2500, 0.9183, 0.0147], [0.2500, 0.0025, 0.8069], [0.2500, 0.6185, 0.7126], [0.7500, 0.3608, 0.9913], [0.7500, 0.3815, 0.2874], [0.2500, 0.8221, 0.5341], [0.2500, 0.2134, 0.1144], [0.2500, 0.3328, 0.4451], [0.2500, 0.1211, 0.5877], [0.7500, 0.7866, 0.8856], [0.7500, 0.6698, 0.1612], [0.7500, 0.1779, 0.4659], [0.7500, 0.6672, 0.5549], [0.2500, 0.5983, 0.2800], [0.7500, 0.9975, 0.1931], [0.2500, 0.6392, 0.0087], [0.7500, 0.8789, 0.4123], [0.2500, 0.3302, 0.8388], [0.7500, 0.4017, 0.7200]], "total_energy_ev_per_atom": -1.478, "ef_mev_per_atom": -246, "space_group": "P2_1/m (11)", "magmom_total_mub_per_atom": 0.000}

***

No. 12
{"formula": "ZrTc2PdRu", "functional": "PBE-GGA", "state": "optimized geometry", "lattice_angstrom": [[-1.7144, 3.7941, -1.9416], [-3.2235, -2.7449, -2.5176], [-3.0211, 0.3944, 3.4382]], "species": ["Ru", "Pd", "Tc", "Tc", "Zr"], "fractional_positions": [[0.0000, 0.0000, 0.0000], [0.5000, 0.5000, 0.5000], [0.0000, 0.0000, 0.5000], [0.5000, 0.0000, 0.0000], [0.0000, 0.5000, 0.0000]], "total_energy_ev_per_atom": -7.633, "ef_mev_per_atom": 1117, "space_group": "P4/mmm (123)", "magmom_total_mub_per_atom": 0.000}

***

No. 13
{"formula": "TlAgSe2", "functional": "PBE-GGA", "state": "optimized geometry", "lattice_angstrom": [[7.5982, 0.0000, 0.0000], [0.0000, 7.5982, 0.0000], [3.7991, 3.7991, 3.4289]], "species": ["Se", "Tl", "Ag", "Se", "Ag", "Se", "Tl", "Se"], "fractional_positions": [[0.3027, 0.1973, 0.0000], [0.7500, 0.2500, 0.5000], [0.7500, 0.7500, 0.5000], [0.6973, 0.8027, 0.0000], [0.2500, 0.2500, 0.5000], [0.1973, 0.6973, 0.0000], [0.2500, 0.7500, 0.5000], [0.8027, 0.3027, 0.0000]], "total_energy_ev_per_atom": -2.998, "space_group": "I4/mcm (140)", "magmom_total_mub_per_atom": 0.000, "e_form_raw_ev_per_fu": 0.2}

***

No. 14
{"formula": "RbNiAs", "functional": "PBE-GGA", "state": "optimized geometry", "lattice_angstrom": [[10.6685, 0.0530, -0.0647], [-0.1473, 4.2155, -0.0183], [0.1562, 0.6607, 4.1633]], "species": ["As", "Rb", "Rb", "As", "Ni", "Ni"], "fractional_positions": [[0.3225, 0.6276, 0.5697], [0.5165, 0.1576, 0.0364], [0.9439, 0.6821, 0.5142], [0.1380, 0.2146, 0.9836], [0.2302, 0.1271, 0.4826], [0.2302, 0.7154, 0.0708]], "total_energy_ev_per_atom": -4.146, "ef_mev_per_atom": -347, "space_group": "P1 (1)", "magmom_total_mub_per_atom": 0.000}

***

No. 15
{"formula": "LiSiAs2", "functional": "PBE-GGA", "state": "optimized geometry", "lattice_angstrom": [[3.3874, 0.0000, 0.0000], [0.0000, 3.2936, 0.0000], [0.0000, 0.0000, 7.1110]], "species": ["Li", "As", "Si", "As"], "fractional_positions": [[0.0000, 0.0000, 0.2930], [0.0000, 0.0000, 0.9280], [0.5000, 0.5000, 0.8067], [0.5000, 0.5000, 0.4723]], "total_energy_ev_per_atom": -4.265, "space_group": "Pmm2 (25)", "magmom_total_mub_per_atom": 0.000, "e_form_raw_ev_per_fu": -0.4}

***

No. 16
{"formula": "Ba2Ga2Cl", "functional": "PBE-GGA", "state": "optimized geometry", "lattice_angstrom": [[4.2905, -0.0111, -1.4023], [-2.3742, 3.8390, -0.0294], [0.6663, 0.4876, 9.3111]], "species": ["Ga", "Ba", "Ba", "Cl", "Ga"], "fractional_positions": [[0.3411, 0.1706, 0.5117], [0.1740, 0.5867, 0.7606], [0.8260, 0.4133, 0.2394], [0.0000, 0.0000, 0.0000], [0.6589, 0.8294, 0.4883]], "total_energy_ev_per_atom": -3.443, "space_group": "R-3m (166)", "magmom_total_mub_per_atom": 0.000, "e_form_raw_ev_per_fu": -5.5}

***

No. 17
{"formula": "YRe2Cl", "functional": "PBE-GGA", "state": "optimized geometry", "lattice_angstrom": [[2.8515, 0.0000, 0.0000], [0.0000, 2.8515, 0.0000], [0.0000, 0.0000, 8.9403]], "species": ["Cl", "Re", "Y", "Re"], "fractional_positions": [[0.5000, 0.5000, 0.7500], [0.0000, 0.0000, 0.5145], [0.5000, 0.5000, 0.2500], [0.0000, 0.0000, 0.9855]], "total_energy_ev_per_atom": -7.297, "space_group": "P4/mmm (123)", "magmom_total_mub_per_atom": 0.000, "e_form_raw_ev_per_fu": 4.0}

***

No. 18
{"formula": "LiZn2B2Ir5", "functional": "PBE-GGA", "state": "optimized geometry", "lattice_angstrom": [[2.8964, 0.0000, 0.0000], [0.0000, 9.2866, 0.0000], [0.0000, 0.0000, 9.2866]], "species": ["Ir", "Ir", "Ir", "Ir", "Ir", "Zn", "Ir", "Li", "B", "Zn", "B", "Zn", "Ir", "B", "Ir", "Ir", "B", "Li", "Zn", "Ir"], "fractional_positions": [[0.5000, 0.5716, 0.7086], [0.5000, 0.2086, 0.0716], [0.5000, 0.9284, 0.2086], [0.5000, 0.5000, 0.0000], [0.5000, 0.7914, 0.9284], [0.0000, 0.1767, 0.3233], [0.5000, 0.0716, 0.7914], [0.0000, 0.5000, 0.5000], [0.0000, 0.6316, 0.8684], [0.0000, 0.3233, 0.8233], [0.0000, 0.1316, 0.6316], [0.0000, 0.8233, 0.6767], [0.5000, 0.7086, 0.4284], [0.0000, 0.3684, 0.1316], [0.5000, 0.2914, 0.5716], [0.5000, 0.0000, 0.5000], [0.0000, 0.8684, 0.3684], [0.0000, 0.0000, 0.0000], [0.0000, 0.6767, 0.1767], [0.5000, 0.4284, 0.2914]], "total_energy_ev_per_atom": -6.385, "ef_mev_per_atom": -173, "space_group": "P4/mbm (127)", "magmom_total_mub_per_atom": 0.000}

***

No. 19
{"formula": "Pr2PuThBi5", "functional": "PBE-GGA", "state": "optimized geometry", "lattice_angstrom": [[-2.5935, 5.1600, 0.1747], [-5.1115, -2.5386, -0.9005], [-1.5038, -1.1551, 11.7926]], "species": ["Pr", "Pr", "Bi", "Bi", "Bi", "Th", "Pu", "Bi", "Bi"], "fractional_positions": [[0.5000, 0.5000, 0.2909], [0.5000, 0.5000, 0.7091], [0.0000, 0.0000, 0.7543], [0.5000, 0.0000, 0.5000], [0.0000, 0.5000, 0.5000], [0.0000, 0.0000, 0.5000], [0.0000, 0.0000, 0.0000], [0.0000, 0.0000, 0.2457], [0.5000, 0.5000, 0.0000]], "total_energy_ev_per_atom": -5.523, "ef_mev_per_atom": 112, "space_group": "P4/mmm (123)", "magmom_total_mub_per_atom": 0.579}

***

No. 20
{"formula": "Nd2PuH8", "functional": "PBE-GGA", "state": "optimized geometry", "lattice_angstrom": [[3.6119, 0.0000, -1.0993], [-0.8098, 4.6852, -2.6610], [0.0106, 0.5357, 6.5185]], "species": ["H", "H", "Nd", "Nd", "H", "H", "H", "Pu", "H", "H", "H"], "fractional_positions": [[0.3430, 0.5838, 0.6860], [0.6570, 0.4162, 0.3140], [0.8300, 0.3300, 0.6600], [0.1700, 0.6700, 0.3400], [0.1567, 0.1567, 0.3135], [0.0000, 0.7381, 0.0000], [0.6570, 0.8978, 0.3140], [0.5000, 0.0000, 0.0000], [0.0000, 0.2619, 0.0000], [0.8433, 0.8433, 0.6865], [0.3430, 0.1022, 0.6860]], "total_energy_ev_per_atom": -5.122, "space_group": "Immm (71)", "magmom_total_mub_per_atom": 0.491}

***

No. 21
{"formula": "ZrCuP2O", "functional": "PBE-GGA", "state": "optimized geometry", "lattice_angstrom": [[4.5493, 0.0000, 0.0000], [0.0000, 4.5493, 0.0000], [0.0000, 0.0000, 3.6929]], "species": ["P", "Zr", "P", "Cu", "O"], "fractional_positions": [[0.5000, 0.0000, 0.0000], [0.5000, 0.5000, 0.5000], [0.0000, 0.5000, 0.0000], [0.0000, 0.0000, 0.0000], [0.0000, 0.0000, 0.5000]], "total_energy_ev_per_atom": -5.798, "space_group": "P4/mmm (123)", "magmom_total_mub_per_atom": 0.000, "e_form_raw_ev_per_fu": -0.6}

***

No. 22
{"formula": "Rb2SiAu3", "functional": "PBE-GGA", "state": "optimized geometry", "lattice_angstrom": [[5.5899, -0.2317, -0.1651], [0.3536, 8.4542, -0.0146], [0.3536, 2.7479, 7.9952]], "species": ["Au", "Rb", "Si", "Au", "Rb", "Au", "Rb", "Au", "Si", "Au", "Au", "Rb"], "fractional_positions": [[0.0004, 0.8833, 0.8832], [0.2497, 0.8254, 0.4859], [0.2500, 0.1357, 0.8643], [0.7500, 0.6154, 0.3846], [0.2503, 0.5141, 0.1746], [0.2500, 0.3846, 0.6154], [0.7503, 0.1746, 0.5141], [0.9996, 0.1167, 0.1168], [0.7500, 0.8643, 0.1357], [0.4996, 0.1168, 0.1167], [0.5004, 0.8832, 0.8833], [0.7497, 0.4859, 0.8254]], "total_energy_ev_per_atom": -3.035, "space_group": "Cmcm (63)", "magmom_total_mub_per_atom": 0.000, "e_form_raw_ev_per_fu": -1.0}

***

No. 23
{"formula": "NaPb2IO6", "functional": "PBE-GGA", "state": "optimized geometry", "lattice_angstrom": [[-5.5570, 1.8284, 0.0939], [-4.2047, -3.2957, -2.3855], [-3.9069, -2.6888, 3.4261]], "species": ["O", "Pb", "Na", "Pb", "O", "I", "O", "O", "O", "O"], "fractional_positions": [[0.2291, 0.7709, 0.2291], [0.7500, 0.7500, 0.7500], [0.5000, 0.5000, 0.5000], [0.2500, 0.2500, 0.2500], [0.7709, 0.2291, 0.2291], [0.0000, 0.0000, 0.0000], [0.2291, 0.2291, 0.7709], [0.7709, 0.7709, 0.2291], [0.2291, 0.7709, 0.7709], [0.7709, 0.2291, 0.7709]], "total_energy_ev_per_atom": -4.919, "space_group": "Fm-3m (225)", "magmom_total_mub_per_atom": 0.000, "e_form_raw_ev_per_fu": -9.2}

***

No. 24
{"formula": "Os2W", "functional": "PBE-GGA", "state": "optimized geometry", "lattice_angstrom": [[2.7589, 0.0000, 0.0000], [-1.3795, 2.3893, 0.0000], [0.0000, 0.0000, 6.8155]], "species": ["Os", "Os", "W"], "fractional_positions": [[0.0000, 0.0000, 0.9962], [0.3333, 0.6667, 0.6704], [0.6667, 0.3333, 0.3333]], "total_energy_ev_per_atom": -11.633, "ef_mev_per_atom": 171, "space_group": "P-3m1 (164)", "magmom_total_mub_per_atom": 0.000}